[1]
# PCl (PBE, optimized geometry)
# D(E_F)	1.525	states/eV per cell
# magnetization	0.00	μB/atom
# energy above the lowest structure with this stoichiometry	476	meV per atom
# formation energy from raw total energies	11.37	kJ per mole of atoms
data_PCl
_cell_length_a 7.182
_cell_length_b 9.149
_cell_length_c 17.699
_cell_angle_alpha 90.00
_cell_angle_beta 90.00
_cell_angle_gamma 90.00
_symmetry_space_group_name_H-M 'F d d d'
_symmetry_Int_Tables_number 70
loop_
_symmetry_equiv_pos_as_xyz
'x,y,z'
'-x,-y,-z'
'-x+1/4,-y+1/4,z'
'x+1/4,y+1/4,-z'
'x,-y+1/4,-z+1/4'
'-x,y+1/4,z+1/4'
'-x+1/4,y,-z+1/4'
'x+1/4,-y,z+1/4'
'x,y+1/2,z+1/2'
'-x,-y+1/2,-z+1/2'
'-x+1/4,-y+3/4,z+1/2'
'x+1/4,y+3/4,-z+1/2'
'x,-y+3/4,-z+3/4'
'-x,y+3/4,z+3/4'
'-x+1/4,y+1/2,-z+3/4'
'x+1/4,-y+1/2,z+3/4'
'x+1/2,y,z+1/2'
'-x+1/2,-y,-z+1/2'
'-x+3/4,-y+1/4,z+1/2'
'x+3/4,y+1/4,-z+1/2'
'x+1/2,-y+1/4,-z+3/4'
'-x+1/2,y+1/4,z+3/4'
'-x+3/4,y,-z+3/4'
'x+3/4,-y,z+3/4'
'x+1/2,y+1/2,z'
'-x+1/2,-y+1/2,-z'
'-x+3/4,-y+3/4,z'
'x+3/4,y+3/4,-z'
'x+1/2,-y+3/4,-z+1/4'
'-x+1/2,y+3/4,z+1/4'
'-x+3/4,y+1/2,-z+1/4'
'x+3/4,-y+1/2,z+1/4'
loop_
_atom_site_label
_atom_site_type_symbol
_atom_site_fract_x
_atom_site_fract_y
_atom_site_fract_z
P1 P 0.017 0.375 0.375
Cl1 Cl 0.125 0.125 0.375

[2]
# PCl (PBE, optimized geometry)
# magnetization	0.00	μB/atom
# energy above the lowest structure with this stoichiometry	77	meV per atom
# formation energy from raw total energies	-27.15	kJ per mole of atoms
data_PCl
_cell_length_a 4.2318
_cell_length_b 4.2318
_cell_length_c 7.4796
_cell_angle_alpha 90.00
_cell_angle_beta 90.00
_cell_angle_gamma 120.00
_symmetry_space_group_name_H-M 'P -3 m 1'
_symmetry_Int_Tables_number 164
_symmetry_space_group_name_Hall '-P 3 2"'
loop_
_atom_site_label
_atom_site_type_symbol
_atom_site_fract_x
_atom_site_fract_y
_atom_site_fract_z
P1 P 0.3333 0.6667 0.4923
Cl1 Cl 0.3333 0.6667 0.2157

[3]
# PCl (PBE, optimized geometry)
# D(E_F)	4.802	states/eV per cell
# magnetization	0.00	μB/atom
# energy above the lowest structure with this stoichiometry	1175	meV per atom
# formation energy from raw total energies	78.77	kJ per mole of atoms
data_PCl
_cell_length_a 3.0520
_cell_length_b 3.0520
_cell_length_c 13.1596
_cell_angle_alpha 90.00
_cell_angle_beta 90.00
_cell_angle_gamma 120.00
_symmetry_space_group_name_H-M 'R -3 m'
_symmetry_Int_Tables_number 166
_symmetry_space_group_name_Hall '-R 3 2"'
loop_
_atom_site_label
_atom_site_type_symbol
_atom_site_fract_x
_atom_site_fract_y
_atom_site_fract_z
P1 P 0.0000 0.0000 0.0000
Cl1 Cl 0.0000 0.0000 0.5000

[4]
# P2Cl (PBE, optimized geometry)
# D(E_F)	5.219	states/eV per cell
# magnetization	0.00	μB/atom
# energy above the lowest structure with this stoichiometry	527	meV per atom
# formation energy from raw total energies	30.19	kJ per mole of atoms
data_P2Cl
_cell_length_a 3.252
_cell_length_b 3.252
_cell_length_c 22.145
_cell_angle_alpha 90.00
_cell_angle_beta 90.00
_cell_angle_gamma 90.00
_symmetry_space_group_name_H-M 'I 41/a m d'
_symmetry_Int_Tables_number 141
loop_
_symmetry_equiv_pos_as_xyz
'x,y,z'
'-x,-y,-z'
'-y+1/4,x+3/4,z+1/4'
'y+1/4,-x+3/4,-z+1/4'
'-x+1/2,-y,z+1/2'
'x+1/2,y,-z+1/2'
'y+1/4,-x+1/4,z+3/4'
'-y+1/4,x+1/4,-z+3/4'
'x,-y,-z'
'-x,y,z'
'-y+1/4,-x+1/4,-z+3/4'
'y+1/4,x+1/4,z+3/4'
'-x+1/2,y,-z+1/2'
'x+1/2,-y,z+1/2'
'y+1/4,x+3/4,-z+1/4'
'-y+1/4,-x+3/4,z+1/4'
'x+1/2,y+1/2,z+1/2'
'-x+1/2,-y+1/2,-z+1/2'
'-y+3/4,x+1/4,z+3/4'
'y+3/4,-x+1/4,-z+3/4'
'-x,-y+1/2,z'
'x,y+1/2,-z'
'y+3/4,-x+3/4,z+1/4'
'-y+3/4,x+3/4,-z+1/4'
'x+1/2,-y+1/2,-z+1/2'
'-x+1/2,y+1/2,z+1/2'
'-y+3/4,-x+3/4,-z+1/4'
'y+3/4,x+3/4,z+1/4'
'-x,y+1/2,-z'
'x,-y+1/2,z'
'y+3/4,x+1/4,-z+3/4'
'-y+3/4,-x+1/4,z+3/4'
loop_
_atom_site_label
_atom_site_type_symbol
_atom_site_fract_x
_atom_site_fract_y
_atom_site_fract_z
P1 P 0.000 0.250 0.282
Cl1 Cl 0.000 0.250 0.875